--- P ---
## SrCaO2 (PBE)

Data for a relaxed structure of SrCaO2.

a b c (Å): 3.4815 3.4815 6.4044
angles (deg): 74.23 74.23 60.00
Last column: nearest neighbours and their distance in Å.
Element x y z (fractional)
1 O 0.2472 0.2472 0.2584  3 Ca 2.50, 3 Sr 2.56
2 O 0.0864 0.0864 0.7409  3 Ca 2.47, 3 Sr 2.54
3 Sr 0.6677 0.6677 0.9969  6 O 2.54-2.56
4 Ca 0.4987 0.4987 0.5038  6 O 2.47-2.50

- Size of the total moment: 0.00 μB/atom
- Mass density: 4.15 Mg/m³

--- Q ---
## SrCaO2 (PBE)

Data for a relaxed structure of SrCaO2.

a b c (Å): 3.5504 3.5504 6.1614
angles (deg): 73.25 73.25 60.00
Last column: nearest neighbours and their distance in Å.
Element x y z (fractional)
1 O 0.2547 0.2547 0.2359  3 Ca 2.47, 3 Sr 2.56
2 O 0.7453 0.7453 0.7641  3 Ca 2.47, 3 Sr 2.56
3 Sr 0.5000 0.5000 0.5000  6 O 2.56
4 Ca 0.0000 0.0000 0.0000  6 O 2.47

- Size of the total moment: 0.00 μB/atom
- Mass density: 4.18 Mg/m³

Most stable structure, least stable structure: Q, P.

--- P ---
## Sr2CaTcO (PBE)

Data for a relaxed structure of Sr2CaTcO.

a b c (Å): 5.5206 5.1806 5.5206
angles (deg): 90.00 90.00 90.00
Last column: nearest neighbours and their distance in Å.
Element x y z (fractional)
1 Sr 0.5000 0.0000 0.0000  2 Tc 2.76
2 Sr 0.0000 0.0000 0.5000  2 Tc 2.76
3 Ca 0.0000 0.5000 0.0000  2 Tc 2.59
4 Tc 0.0000 0.0000 0.0000  2 Ca 2.59, 4 Sr 2.76
5 O 0.5000 0.5000 0.5000  8 Sr 3.79, 4 Ca 3.90

- Size of the total moment: 0.00 μB/atom
- Mass density: 3.46 Mg/m³

--- Q ---
## Sr2CaTcO (PBE)

Data for a relaxed structure of Sr2CaTcO.

a b c (Å): 6.5355 4.0811 6.5355
angles (deg): 90.00 90.00 90.00
Last column: nearest neighbours and their distance in Å.
Element x y z (fractional)
1 O 0.0000 0.5000 0.0000  2 Ca 2.04
2 Sr 0.5000 0.0000 0.0000  2 Ca 3.27
3 Sr 0.0000 0.0000 0.5000  2 Ca 3.27
4 Tc 0.5000 0.5000 0.5000  8 Sr 3.85, 2 Tc 4.08
5 Ca 0.0000 0.0000 0.0000  2 O 2.04

- Size of the total moment: 0.61 μB/atom
- Mass density: 3.14 Mg/m³

Most stable structure, least stable structure: Q, P.

--- P ---
## CaTbO (PBE)

Data for a relaxed structure of CaTbO.

a b c (Å): 3.4956 3.4956 6.0432
angles (deg): 90.00 90.00 120.00
Last column: nearest neighbours and their distance in Å.
Element x y z (fractional)
1 Ca 0.0000 0.0000 0.8989  3 O 2.45
2 Tb 0.6667 0.3333 0.4314  3 O 2.48
3 O 0.3333 0.6667 0.6697  3 Ca 2.45, 3 Tb 2.48

- Size of the total moment: 0.35 μB/atom
- Mass density: 5.58 Mg/m³

--- Q ---
## CaTbO (PBE)

Data for a relaxed structure of CaTbO.

a b c (Å): 3.5331 6.8658 6.9542
angles (deg): 53.02 75.28 75.09
Last column: nearest neighbours and their distance in Å.
Element x y z (fractional)
1 Tb 0.1326 0.7031 0.0316  3 O 2.42-2.43
2 Tb 0.8674 0.2969 0.9684  3 O 2.42-2.43
3 O 0.7465 0.7405 0.7665  3 Tb 2.42-2.43, 3 Ca 2.52-2.53
4 O 0.2535 0.2595 0.2335  3 Tb 2.42-2.43, 3 Ca 2.52-2.53
5 Ca 0.6334 0.2026 0.5307  3 O 2.52-2.53
6 Ca 0.3666 0.7974 0.4693  3 O 2.52-2.53

- Size of the total moment: 0.35 μB/atom
- Mass density: 5.53 Mg/m³

Most stable structure, least stable structure: P, Q.

--- P ---
## CaTbO2 (PBE)

Data for a relaxed structure of CaTbO2.

a b c (Å): 3.3920 3.3920 6.0096
angles (deg): 73.61 73.61 60.00
Last column: nearest neighbours and their distance in Å.
Element x y z (fractional)
1 Ca 0.0000 0.0000 0.0000  6 O 2.42
2 Tb 0.5000 0.5000 0.5000  6 O 2.42
3 O 0.7499 0.7499 0.7502  3 Ca 2.42, 3 Tb 2.42
4 O 0.2501 0.2501 0.2498  3 Ca 2.42, 3 Tb 2.42

- Size of the total moment: 0.00 μB/atom
- Mass density: 6.78 Mg/m³

--- Q ---
## CaTbO2 (PBE)

Data for a relaxed structure of CaTbO2.

a b c (Å): 3.3547 3.3547 6.2286
angles (deg): 74.38 74.38 60.00
Last column: nearest neighbours and their distance in Å.
Element x y z (fractional)
1 Tb 0.6695 0.6695 0.9916  6 O 2.39-2.43
2 Ca 0.4951 0.4951 0.5146  6 O 2.40-2.53
3 O 0.0818 0.0818 0.7547  3 Tb 2.39, 3 Ca 2.40
4 O 0.2536 0.2536 0.2392  3 Tb 2.43, 3 Ca 2.53

- Size of the total moment: 0.00 μB/atom
- Mass density: 6.65 Mg/m³

Most stable structure, least stable structure: P, Q.

--- P ---
## Ca3TcO6 (PBE)

Data for a relaxed structure of Ca3TcO6.

a b c (Å): 5.5606 5.8567 8.0474
angles (deg): 90.00 90.07 90.00
Last column: nearest neighbours and their distance in Å.
Element x y z (fractional)
1 O 0.8314 0.7243 0.9285  1 Tc 1.95
2 O 0.6686 0.2243 0.5715  1 Tc 1.95
3 O 0.2835 0.8228 0.0518  1 Tc 1.93
4 O 0.3843 0.5523 0.7255  1 Tc 1.95
5 O 0.3314 0.7757 0.4285  1 Tc 1.95
6 O 0.1686 0.2757 0.0715  1 Tc 1.95
7 O 0.8843 0.9477 0.2255  1 Tc 1.95
8 O 0.7165 0.1772 0.9482  1 Tc 1.93
9 O 0.7835 0.6772 0.5518  1 Tc 1.93
10 O 0.6157 0.4477 0.2745  1 Tc 1.95
11 O 0.1157 0.0523 0.7745  1 Tc 1.95
12 O 0.2165 0.3228 0.4482  1 Tc 1.93
13 Ca 0.9824 0.4397 0.7439  5 O 2.33-2.56
14 Ca 0.0176 0.5603 0.2561  5 O 2.33-2.56
15 Ca 0.0000 0.0000 0.5000  6 O 2.28-2.34
16 Ca 0.4824 0.0603 0.2439  5 O 2.33-2.56
17 Ca 0.5176 0.9397 0.7561  5 O 2.33-2.56
18 Ca 0.5000 0.5000 0.0000  6 O 2.28-2.34
19 Tc 0.0000 0.0000 0.0000  6 O 1.93-1.95
20 Tc 0.5000 0.5000 0.5000  6 O 1.93-1.95

- Size of the total moment: 0.10 μB/atom
- Mass density: 3.98 Mg/m³

--- Q ---
## Ca3TcO6 (PBE)

Data for a relaxed structure of Ca3TcO6.

a b c (Å): 6.5655 6.5655 6.5655
angles (deg): 91.82 91.82 91.82
Last column: nearest neighbours and their distance in Å.
Element x y z (fractional)
1 Ca 0.5661 0.0698 0.2545  6 O 2.32-2.45
2 Ca 0.9302 0.7455 0.4339  6 O 2.32-2.45
3 Ca 0.2545 0.5661 0.0698  6 O 2.32-2.45
4 Ca 0.7455 0.4339 0.9302  6 O 2.32-2.45
5 Ca 0.4339 0.9302 0.7455  6 O 2.32-2.45
6 Ca 0.0698 0.2545 0.5661  6 O 2.32-2.45
7 O 0.0695 0.2821 0.9389  1 Tc 1.95
8 O 0.0611 0.9305 0.7179  1 Tc 1.95
9 O 0.4518 0.5773 0.7830  1 Tc 1.95
10 O 0.5482 0.4227 0.2170  1 Tc 1.95
11 O 0.2821 0.9389 0.0695  1 Tc 1.95
12 O 0.4227 0.2170 0.5482  1 Tc 1.95
13 O 0.2170 0.5482 0.4227  1 Tc 1.95
14 O 0.5773 0.7830 0.4518  1 Tc 1.95
15 O 0.7179 0.0611 0.9305  1 Tc 1.95
16 O 0.9389 0.0695 0.2821  1 Tc 1.95
17 O 0.7830 0.4518 0.5773  1 Tc 1.95
18 O 0.9305 0.7179 0.0611  1 Tc 1.95
19 Tc 0.0000 0.0000 0.0000  6 O 1.95
20 Tc 0.5000 0.5000 0.5000  6 O 1.95

- Size of the total moment: 0.10 μB/atom
- Mass density: 3.69 Mg/m³

Most stable structure, least stable structure: Q, P.

--- P ---
## CaTcO2 (PBE)

Data for a relaxed structure of CaTcO2.

a b c (Å): 4.6213 4.6213 6.4852
angles (deg): 69.13 69.13 90.00
Last column: nearest neighbours and their distance in Å.
Element x y z (fractional)
1 O 0.0586 0.6250 0.2500  2 Tc 2.00
2 O 0.3750 0.3086 0.7500  2 Tc 2.00
3 O 0.6914 0.1250 0.2500  2 Tc 2.00
4 O 0.8750 0.9414 0.7500  2 Tc 2.00
5 Ca 0.2500 0.7500 0.5000  4 O 2.33
6 Ca 0.5000 0.5000 0.0000  4 O 2.33
7 Tc 0.7500 0.2500 0.5000  4 O 2.00
8 Tc 0.0000 0.0000 0.0000  4 O 2.00

- Size of the total moment: 0.00 μB/atom
- Mass density: 4.72 Mg/m³

--- Q ---
## CaTcO2 (PBE)

Data for a relaxed structure of CaTcO2.

a b c (Å): 3.9871 3.9871 3.9871
angles (deg): 60.00 60.00 60.00
Last column: nearest neighbours and their distance in Å.
Element x y z (fractional)
1 Tc 0.5000 0.5000 0.5000  8 O 2.44
2 O 0.2500 0.2500 0.2500  4 Tc 2.44, 4 Ca 2.44
3 O 0.7500 0.7500 0.7500  4 Tc 2.44, 4 Ca 2.44
4 Ca 0.0000 0.0000 0.0000  8 O 2.44

- Size of the total moment: 0.23 μB/atom
- Mass density: 6.30 Mg/m³

--- R ---
## CaTcO2 (PBE)

Data for a relaxed structure of CaTcO2.

a b c (Å): 6.5769 6.5769 6.5769
angles (deg): 29.53 29.53 29.53
Last column: nearest neighbours and their distance in Å.
Element x y z (fractional)
1 Tc 0.0000 0.0000 0.0000  2 O 1.89
2 O 0.1000 0.1000 0.1000  1 Tc 1.89
3 O 0.9000 0.9000 0.9000  1 Tc 1.89
4 Ca 0.5000 0.5000 0.5000  6 O 2.31

- Size of the total moment: 0.49 μB/atom
- Mass density: 4.62 Mg/m³

Most stable structure, least stable structure: R, Q.